This record from Alexandria via LeMat-Bulk describes an optimized crystal structure of CdCl4. The functional is PBE-GGA.

Cell: 5.210 5.210 5.210 Å, 90.00 90.00 90.00°
Positions (direct):
Cl: 0.000 0.000 0.000
Cl: 0.500 0.000 0.500
Cl: 0.000 0.500 0.500
Cl: 0.500 0.500 0.000
Cd: 0.500 0.500 0.500

Results
uncorrected formation energy	-150	meV per atom
D(E_F)	7.1	states/eV per cell